# 1
Material: PmDy8Sn6
Method: DFT, PBE
State: optimized geometry

magnetization: 0.0 μB per formula unit
DFT formation energy: -542 meV/atom
space group: R-3, No. 148

```
data_PmDy8Sn6
_chemical_formula_sum 'Pm1 Dy8 Sn6'
_cell_length_a 9.059
_cell_length_b 9.059
_cell_length_c 8.337
_cell_angle_alpha 57.09
_cell_angle_beta 57.09
_cell_angle_gamma 60.00
_symmetry_space_group_name_H-M 'P 1'
_symmetry_Int_Tables_number 1
loop_
_symmetry_equiv_pos_as_xyz
'x,y,z'
loop_
_atom_site_label
_atom_site_fract_x
_atom_site_fract_y
_atom_site_fract_z
Pm1 0.000 0.000 0.000
Dy1 0.563 0.225 0.318
Dy2 0.775 0.107 0.682
Dy3 0.107 0.437 0.682
Dy4 0.667 0.667 0.999
Dy5 0.333 0.333 0.001
Dy6 0.893 0.563 0.318
Dy7 0.225 0.893 0.318
Dy8 0.437 0.775 0.682
Sn1 0.405 0.067 0.797
Sn2 0.933 0.270 0.203
Sn3 0.270 0.595 0.203
Sn4 0.730 0.405 0.797
Sn5 0.067 0.730 0.797
Sn6 0.595 0.933 0.203
```



# 2
Material: H2Ir2Pt
Method: DFT, PBE
State: optimized geometry

offset from the most stable computed form: 79 meV/atom
magnetization: 0.0 μB per formula unit
space group: I4/mmm, No. 139

```
data_H2Ir2Pt
_chemical_formula_sum 'H2 Ir2 Pt1'
_cell_length_a 3.507
_cell_length_b 3.507
_cell_length_c 4.830
_cell_angle_alpha 68.71
_cell_angle_beta 68.71
_cell_angle_gamma 90.00
_symmetry_space_group_name_H-M 'P 1'
_symmetry_Int_Tables_number 1
loop_
_symmetry_equiv_pos_as_xyz
'x,y,z'
loop_
_atom_site_label
_atom_site_fract_x
_atom_site_fract_y
_atom_site_fract_z
H1 0.750 0.250 0.500
H2 0.250 0.750 0.500
Ir1 0.340 0.340 0.321
Ir2 0.660 0.660 0.679
Pt1 0.000 0.000 0.000
```



# 3
Material: SrZr2Pt
Method: DFT, PBE
State: optimized geometry

offset from the most stable computed form: 393 meV/atom
magnetization: 0.0 μB per formula unit
DFT formation energy: 28 meV/atom
space group: I4/mmm, No. 139

```
data_SrZr2Pt
_chemical_formula_sum 'Sr1 Zr2 Pt1'
_cell_length_a 6.130
_cell_length_b 6.130
_cell_length_c 6.130
_cell_angle_alpha 139.98
_cell_angle_beta 139.98
_cell_angle_gamma 57.89
_symmetry_space_group_name_H-M 'P 1'
_symmetry_Int_Tables_number 1
loop_
_symmetry_equiv_pos_as_xyz
'x,y,z'
loop_
_atom_site_label
_atom_site_fract_x
_atom_site_fract_y
_atom_site_fract_z
Pt1 0.250 0.750 0.500
Sr1 0.750 0.250 0.500
Zr1 0.000 0.000 0.000
Zr2 0.500 0.500 0.000
```



# 4
Material: Pa2Ge3Rh8
Method: DFT, PBE
State: optimized geometry

magnetization: 0.0 μB per formula unit
DFT formation energy: -592 meV/atom
space group: C2/m, No. 12

```
data_Pa2Ge3Rh8
_chemical_formula_sum 'Pa2 Ge3 Rh8'
_cell_length_a 7.276
_cell_length_b 5.602
_cell_length_c 7.134
_cell_angle_alpha 113.12
_cell_angle_beta 121.49
_cell_angle_gamma 90.00
_symmetry_space_group_name_H-M 'P 1'
_symmetry_Int_Tables_number 1
loop_
_symmetry_equiv_pos_as_xyz
'x,y,z'
loop_
_atom_site_label
_atom_site_fract_x
_atom_site_fract_y
_atom_site_fract_z
Pa1 0.249 0.355 0.709
Pa2 0.751 0.645 0.291
Ge1 0.500 0.000 0.000
Ge2 0.000 0.265 0.000
Ge3 0.000 0.735 0.000
Rh1 0.172 0.701 0.402
Rh2 0.828 0.299 0.598
Rh3 0.910 0.115 0.231
Rh4 0.090 0.885 0.769
Rh5 0.576 0.623 0.743
Rh6 0.576 0.120 0.743
Rh7 0.424 0.880 0.257
Rh8 0.424 0.377 0.257
```



# 5
Material: CdSO4F
Method: DFT, PBE
State: optimized geometry

formation energy without anion corrections: -1.20 eV per atom
magnetization: 1.0 μB per formula unit
space group: C2/m, No. 12

```
data_CdSO4F
_chemical_formula_sum 'Cd2 S2 O8 F2'
_cell_length_a 5.770
_cell_length_b 5.770
_cell_length_c 7.521
_cell_angle_alpha 73.50
_cell_angle_beta 73.50
_cell_angle_gamma 76.02
_symmetry_space_group_name_H-M 'P 1'
_symmetry_Int_Tables_number 1
loop_
_symmetry_equiv_pos_as_xyz
'x,y,z'
loop_
_atom_site_label
_atom_site_fract_x
_atom_site_fract_y
_atom_site_fract_z
Cd1 0.176 0.176 0.820
Cd2 0.824 0.824 0.180
S1 0.621 0.621 0.716
S2 0.379 0.379 0.284
O1 0.293 0.293 0.492
O2 0.707 0.707 0.508
O3 0.170 0.507 0.195
O4 0.551 0.551 0.245
O5 0.493 0.830 0.805
O6 0.507 0.170 0.195
O7 0.449 0.449 0.755
O8 0.830 0.493 0.805
F1 0.077 0.077 0.132
F2 0.923 0.923 0.868
```



# 6
Material: LaNb6Sn6
Method: DFT, PBE
State: optimized geometry

magnetization: 0.0 μB per formula unit
DFT formation energy: -331 meV/atom
space group: Immm, No. 71

```
data_LaNb6Sn6
_chemical_formula_sum 'La1 Nb6 Sn6'
_cell_length_a 5.835
_cell_length_b 7.575
_cell_length_c 7.575
_cell_angle_alpha 79.39
_cell_angle_beta 67.35
_cell_angle_gamma 67.35
_symmetry_space_group_name_H-M 'P 1'
_symmetry_Int_Tables_number 1
loop_
_symmetry_equiv_pos_as_xyz
'x,y,z'
loop_
_atom_site_label
_atom_site_fract_x
_atom_site_fract_y
_atom_site_fract_z
La1 0.000 0.000 0.000
Nb1 0.000 0.500 0.000
Nb2 0.500 0.500 0.000
Nb3 0.000 0.000 0.500
Nb4 0.500 0.000 0.500
Nb5 0.500 0.748 0.252
Nb6 0.500 0.252 0.748
Sn1 0.335 0.665 0.665
Sn2 0.665 0.335 0.335
Sn3 0.000 0.335 0.665
Sn4 0.000 0.665 0.335
Sn5 0.333 0.167 0.167
Sn6 0.667 0.833 0.833
```



# 7
Material: ZnPPt
Method: DFT, PBE
State: optimized geometry

offset from the most stable computed form: 289 meV/atom
magnetization: 0.0 μB per formula unit
DFT formation energy: -34 meV/atom
space group: I4mm, No. 107

```
data_ZnPPt
_chemical_formula_sum 'Zn1 P1 Pt1'
_cell_length_a 5.859
_cell_length_b 5.859
_cell_length_c 5.859
_cell_angle_alpha 151.58
_cell_angle_beta 151.58
_cell_angle_gamma 40.62
_symmetry_space_group_name_H-M 'P 1'
_symmetry_Int_Tables_number 1
loop_
_symmetry_equiv_pos_as_xyz
'x,y,z'
loop_
_atom_site_label
_atom_site_fract_x
_atom_site_fract_y
_atom_site_fract_z
Zn1 0.330 0.330 0.000
P1 0.009 0.009 0.000
Pt1 0.660 0.660 0.000
```



# 8
Material: CrMo2Br
Method: DFT, PBE
State: optimized geometry

formation energy without anion corrections: 0.51 eV per atom
offset from the most stable computed form: 16 meV/atom
magnetization: 3.0 μB per formula unit
space group: P4mm, No. 99

```
data_CrMo2Br
_chemical_formula_sum 'Cr1 Mo2 Br1'
_cell_length_a 3.153
_cell_length_b 3.153
_cell_length_c 6.989
_cell_angle_alpha 90.00
_cell_angle_beta 90.00
_cell_angle_gamma 90.00
_symmetry_space_group_name_H-M 'P 1'
_symmetry_Int_Tables_number 1
loop_
_symmetry_equiv_pos_as_xyz
'x,y,z'
loop_
_atom_site_label
_atom_site_fract_x
_atom_site_fract_y
_atom_site_fract_z
Br1 0.000 0.000 0.513
Cr1 0.500 0.500 0.785
Mo1 0.000 0.000 0.997
Mo2 0.500 0.500 0.205
```



# 9
Material: Tm3MgB
Method: DFT, PBE
State: optimized geometry

magnetization: 1.4 μB per formula unit
DFT formation energy: -33 meV/atom
space group: Pm-3m, No. 221

```
data_Tm3MgB
_chemical_formula_sum 'Tm3 Mg1 B1'
_cell_length_a 5.029
_cell_length_b 5.029
_cell_length_c 5.029
_cell_angle_alpha 90.00
_cell_angle_beta 90.00
_cell_angle_gamma 90.00
_symmetry_space_group_name_H-M 'P 1'
_symmetry_Int_Tables_number 1
loop_
_symmetry_equiv_pos_as_xyz
'x,y,z'
loop_
_atom_site_label
_atom_site_fract_x
_atom_site_fract_y
_atom_site_fract_z
Mg1 0.500 0.500 0.500
Tm1 0.000 0.500 0.000
Tm2 0.000 0.000 0.500
Tm3 0.500 0.000 0.000
B1 0.000 0.000 0.000
```



# 10
Material: NdCd2CuPd4
Method: DFT, PBE
State: optimized geometry

magnetization: 0.0 μB per formula unit
DFT formation energy: -426 meV/atom
space group: R-3m, No. 166

```
data_NdCd2CuPd4
_chemical_formula_sum 'Nd1 Cd2 Cu1 Pd4'
_cell_length_a 4.620
_cell_length_b 4.620
_cell_length_c 8.419
_cell_angle_alpha 74.08
_cell_angle_beta 74.08
_cell_angle_gamma 60.00
_symmetry_space_group_name_H-M 'P 1'
_symmetry_Int_Tables_number 1
loop_
_symmetry_equiv_pos_as_xyz
'x,y,z'
loop_
_atom_site_label
_atom_site_fract_x
_atom_site_fract_y
_atom_site_fract_z
Nd1 0.000 0.000 0.000
Cd1 0.757 0.757 0.728
Cd2 0.243 0.243 0.272
Cu1 0.500 0.500 0.500
Pd1 0.393 0.393 0.822
Pd2 0.873 0.873 0.381
Pd3 0.127 0.127 0.619
Pd4 0.607 0.607 0.178
```



# 11
Material: BeGaSCl2
Method: DFT, PBE
State: optimized geometry

formation energy without anion corrections: 0.19 eV per atom
offset from the most stable computed form: 582 meV/atom
magnetization: 0.0 μB per formula unit
space group: P4/mmm, No. 123

```
data_BeGaSCl2
_chemical_formula_sum 'Be1 Ga1 S1 Cl2'
_cell_length_a 4.727
_cell_length_b 4.727
_cell_length_c 4.863
_cell_angle_alpha 90.00
_cell_angle_beta 90.00
_cell_angle_gamma 90.00
_symmetry_space_group_name_H-M 'P 1'
_symmetry_Int_Tables_number 1
loop_
_symmetry_equiv_pos_as_xyz
'x,y,z'
loop_
_atom_site_label
_atom_site_fract_x
_atom_site_fract_y
_atom_site_fract_z
Be1 0.500 0.500 0.500
S1 0.000 0.000 0.500
Ga1 0.000 0.000 0.000
Cl1 0.000 0.500 0.000
Cl2 0.500 0.000 0.000
```



no.,raw total energy (eV/atom)
1,-4.915
2,-5.823
3,-6.177
4,-7.642
5,-5.019
6,-7.205
7,-4.276
8,-7.731
9,-4.370
10,-4.359
11,-2.720